1.
Y3HoTm6 (GGA-PBE, optimized geometry); distance to the lowest polymorph of the same formula = 0 meV per atom; energy relative to the elements = 0.14 eV per atom; space group = Cmc2_1 (36)
1.0
5.4715 -9.4048 0.0000
5.4715 9.4048 0.0000
0.0000 0.0000 6.1050
Y Ho Tm
6 2 12
direct
0.1085 0.8915 0.5000
0.2207 0.4368 0.1089
0.4368 0.2207 0.6089
0.5632 0.7793 0.1089
0.7793 0.5632 0.6089
0.8915 0.1085 0.0000
0.2901 0.7099 0.4132
0.7099 0.2901 0.9132
0.0415 0.4640 0.7033
0.1162 0.2124 0.5393
0.2124 0.1162 0.0393
0.2150 0.7850 0.9289
0.4509 0.5491 0.6385
0.4640 0.0415 0.2033
0.5360 0.9585 0.7033
0.5491 0.4509 0.1385
0.7850 0.2150 0.4289
0.7876 0.8838 0.5393
0.8838 0.7876 0.0393
0.9585 0.5360 0.2033

2.
TlV2N (GGA-PBE, optimized geometry); space group = Fm-3m (225); VASP energy = -24.006 eV/f.u.
1.0
0.0000 3.0562 3.0562
3.0562 0.0000 3.0562
3.0562 3.0562 0.0000
Tl V N
1 2 1
direct
0.0000 0.0000 0.0000
0.2500 0.2500 0.2500
0.7500 0.7500 0.7500
0.5000 0.5000 0.5000

3.
Rb2IrCl6F (GGA-PBE, optimized geometry); space group = I4/mmm (139); VASP energy = -34.323 eV/f.u.
1.0
-3.7507 3.7507 4.8384
3.7507 -3.7507 4.8384
3.7507 3.7507 -4.8384
Rb Ir Cl F
2 1 6 1
direct
0.2500 0.7500 0.5000
0.7500 0.2500 0.5000
0.0000 0.0000 0.0000
0.2207 0.2207 0.4413
0.2207 0.7793 0.0000
0.2415 0.2415 0.0000
0.7585 0.7585 0.0000
0.7793 0.2207 0.0000
0.7793 0.7793 0.5587
0.5000 0.5000 0.0000

4.
K2TcH6 (GGA-PBE, optimized geometry); space group = Fm-3m (225); VASP energy = -32.130 eV/f.u.
1.0
0.0000 4.1555 4.1555
4.1555 0.0000 4.1555
4.1555 4.1555 0.0000
K Tc H
2 1 6
direct
0.2500 0.2500 0.2500
0.7500 0.7500 0.7500
0.0000 0.0000 0.0000
0.2143 0.2143 0.7857
0.2143 0.7857 0.2143
0.2143 0.7857 0.7857
0.7857 0.2143 0.2143
0.7857 0.2143 0.7857
0.7857 0.7857 0.2143

5.
AgP5 (GGA-PBE, optimized geometry); distance to the lowest polymorph of the same formula = 438 meV per atom; energy relative to the elements = 0.69 eV per atom; space group = P4/mmm (123)
1.0
2.4885 0.0000 0.0000
0.0000 2.4885 0.0000
0.0000 0.0000 15.5604
Ag P
1 5
direct
0.0000 0.0000 0.0000
0.0000 0.0000 0.3281
0.0000 0.0000 0.6719
0.5000 0.5000 0.1641
0.5000 0.5000 0.5000
0.5000 0.5000 0.8359

6.
Sm12Y5Ho2 (GGA-PBE, optimized geometry); energy relative to the elements = 0.10 eV per atom; space group = C2/m (12)
1.0
8.9027 -5.8534 0.0000
8.9027 5.8534 0.0000
-1.3485 0.0000 6.0696
Sm Y Ho
12 5 2
direct
0.0478 0.5589 0.8019
0.0544 0.0544 0.2743
0.1468 0.6461 0.3826
0.3539 0.8532 0.6174
0.3804 0.3804 0.9996
0.4411 0.9522 0.1981
0.5589 0.0478 0.8019
0.6196 0.6196 0.0004
0.6461 0.1468 0.3826
0.8532 0.3539 0.6174
0.9456 0.9456 0.7257
0.9522 0.4411 0.1981
0.1762 0.1762 0.8622
0.2838 0.2838 0.4462
0.5000 0.5000 0.5000
0.7162 0.7162 0.5538
0.8238 0.8238 0.1378
0.2694 0.7306 0.0000
0.7306 0.2694 0.0000

7.
Na3Cu5F12 (GGA-PBE, optimized geometry); space group = Ia-3d (230); VASP energy = -83.695 eV/f.u.
1.0
-6.4393 6.4393 6.4393
6.4393 -6.4393 6.4393
6.4393 6.4393 -6.4393
Na Cu F
12 20 48
direct
0.1250 0.2500 0.3750
0.1250 0.3750 0.7500
0.2500 0.3750 0.1250
0.2500 0.8750 0.6250
0.3750 0.1250 0.2500
0.3750 0.7500 0.1250
0.6250 0.2500 0.8750
0.6250 0.8750 0.7500
0.7500 0.1250 0.3750
0.7500 0.6250 0.8750
0.8750 0.6250 0.2500
0.8750 0.7500 0.6250
0.0000 0.0000 0.0000
0.0000 0.0000 0.5000
0.0000 0.5000 0.0000
0.0000 0.5000 0.5000
0.1250 0.7500 0.8750
0.1250 0.8750 0.2500
0.2500 0.1250 0.8750
0.2500 0.6250 0.3750
0.3750 0.2500 0.6250
0.3750 0.6250 0.7500
0.5000 0.0000 0.0000
0.5000 0.0000 0.5000
0.5000 0.5000 0.0000
0.5000 0.5000 0.5000
0.6250 0.3750 0.2500
0.6250 0.7500 0.3750
0.7500 0.3750 0.6250
0.7500 0.8750 0.1250
0.8750 0.1250 0.7500
0.8750 0.2500 0.1250
0.0252 0.1974 0.1243
0.0252 0.3278 0.9010
0.0732 0.6974 0.6722
0.0732 0.8757 0.4010
0.0990 0.6243 0.4268
0.0990 0.9748 0.6722
0.1243 0.0252 0.1974
0.1243 0.5990 0.9268
0.1722 0.1974 0.5732
0.1722 0.4748 0.5990
0.1974 0.1243 0.0252
0.1974 0.5732 0.1722
0.3026 0.3278 0.9268
0.3026 0.4748 0.3757
0.3278 0.9010 0.0252
0.3278 0.9268 0.3026
0.3757 0.3026 0.4748
0.3757 0.5732 0.9010
0.4010 0.0732 0.8757
0.4010 0.8278 0.5252
0.4268 0.0990 0.6243
0.4268 0.8278 0.8026
0.4748 0.3757 0.3026
0.4748 0.5990 0.1722
0.5252 0.4010 0.8278
0.5252 0.6243 0.6974
0.5732 0.1722 0.1974
0.5732 0.9010 0.3757
0.5990 0.1722 0.4748
0.5990 0.9268 0.1243
0.6243 0.4268 0.0990
0.6243 0.6974 0.5252
0.6722 0.0732 0.6974
0.6722 0.0990 0.9748
0.6974 0.5252 0.6243
0.6974 0.6722 0.0732
0.8026 0.4268 0.8278
0.8026 0.8757 0.9748
0.8278 0.5252 0.4010
0.8278 0.8026 0.4268
0.8757 0.4010 0.0732
0.8757 0.9748 0.8026
0.9010 0.0252 0.3278
0.9010 0.3757 0.5732
0.9268 0.1243 0.5990
0.9268 0.3026 0.3278
0.9748 0.6722 0.0990
0.9748 0.8026 0.8757

8.
La2SmC (GGA-PBE, optimized geometry); distance to the lowest polymorph of the same formula = 957 meV per atom; energy relative to the elements = 0.93 eV per atom; space group = R-3m (166)
1.0
2.0635 1.1913 9.8798
-2.0635 1.1913 9.8798
0.0000 -2.3827 9.8798
La Sm C
2 1 1
direct
0.0702 0.0702 0.0702
0.9298 0.9298 0.9298
0.5000 0.5000 0.5000
0.0000 0.0000 0.0000

9.
CdOsAu2 (GGA-PBE, optimized geometry); energy relative to the elements = 0.50 eV per atom; space group = Pmmm (47)
1.0
2.8058 0.0000 0.0000
0.0000 5.0158 0.0000
0.0000 0.0000 5.0160
Cd Os Au
1 1 2
direct
0.0000 0.0000 0.0000
0.5000 0.5000 0.0000
0.0000 0.5000 0.5000
0.5000 0.0000 0.5000

10.
KFePb (GGA-PBE, optimized geometry); distance to the lowest polymorph of the same formula = 80 meV per atom; energy relative to the elements = 0.57 eV per atom; space group = P-6m2 (187)
1.0
4.5874 0.0000 0.0000
-2.2937 3.9728 0.0000
0.0000 0.0000 5.5766
K Fe Pb
1 1 1
direct
0.0000 0.0000 0.0000
0.3333 0.6667 0.5000
0.6667 0.3333 0.5000

11.
KMgIn (GGA-PBE, optimized geometry); distance to the lowest polymorph of the same formula = 74 meV per atom; energy relative to the elements = 0.01 eV per atom; space group = I4mm (107)
1.0
-1.9409 1.9409 6.7189
1.9409 -1.9409 6.7189
1.9409 1.9409 -6.7189
K Mg In
1 1 1
direct
0.0000 0.0000 0.0000
0.2907 0.2907 0.0000
0.6937 0.6937 0.0000

12.
CsPa2Se6 (GGA-PBE, optimized geometry); distance to the lowest polymorph of the same formula = 0 meV per atom; space group = Fd-3m (227)
1.0
0.0000 7.1258 7.1258
7.1258 0.0000 7.1258
7.1258 7.1258 0.0000
Cs Pa Se
2 4 12
direct
0.1250 0.1250 0.1250
0.8750 0.8750 0.8750
0.0000 0.5000 0.5000
0.5000 0.0000 0.5000
0.5000 0.5000 0.0000
0.5000 0.5000 0.5000
0.1702 0.1702 0.5798
0.1702 0.5798 0.1702
0.1702 0.5798 0.5798
0.4202 0.4202 0.8298
0.4202 0.8298 0.4202
0.4202 0.8298 0.8298
0.5798 0.1702 0.1702
0.5798 0.1702 0.5798
0.5798 0.5798 0.1702
0.8298 0.4202 0.4202
0.8298 0.4202 0.8298
0.8298 0.8298 0.4202

13.
ErZnPt (GGA-PBE, optimized geometry); energy relative to the elements = -0.95 eV per atom; space group = Pmmn (59)
1.0
3.9335 0.0000 0.0000
0.0000 4.1906 0.0000
0.0000 0.0000 7.1387
Er Zn Pt
2 2 2
direct
0.2500 0.2500 0.1560
0.7500 0.7500 0.8440
0.2500 0.7500 0.5027
0.7500 0.2500 0.4973
0.2500 0.2500 0.7494
0.7500 0.7500 0.2506

14.
NiPtRh (GGA-PBE, optimized geometry); distance to the lowest polymorph of the same formula = 25 meV per atom; energy relative to the elements = -0.01 eV per atom; space group = C2/m (12)
1.0
2.3220 -4.0521 0.0000
2.3220 4.0521 0.0000
-1.4710 0.0000 4.4073
Ni Pt Rh
2 2 2
direct
0.0000 0.0000 0.0000
0.5000 0.5000 0.5000
0.1639 0.8361 0.5000
0.8361 0.1639 0.5000
0.3375 0.6625 0.0000
0.6625 0.3375 0.0000

15.
CdNi2Rh2 (GGA-PBE, optimized geometry); energy relative to the elements = 0.24 eV per atom; space group = I4/mmm (139)
1.0
-1.7340 1.7340 6.3392
1.7340 -1.7340 6.3392
1.7340 1.7340 -6.3392
Cd Ni Rh
1 2 2
direct
0.0000 0.0000 0.0000
0.2500 0.7500 0.5000
0.7500 0.2500 0.5000
0.3925 0.3925 0.0000
0.6075 0.6075 0.0000

16.
KZr2Tl (GGA-PBE, optimized geometry); distance to the lowest polymorph of the same formula = 296 meV per atom; energy relative to the elements = 0.46 eV per atom; space group = P4/mmm (123)
1.0
3.2060 0.0000 0.0000
0.0000 3.2060 0.0000
0.0000 0.0000 11.2252
K Zr Tl
1 2 1
direct
0.0000 0.0000 0.0000
0.5000 0.5000 0.3097
0.5000 0.5000 0.6903
0.0000 0.0000 0.5000